1.
Pr4CoBi after structural relaxation. Source: Alexandria via LeMat-Bulk, functional PBE.

Cell lengths 16.0326, 6.2072, 7.8086 Å; angles 90.00, 106.74, 90.00 degrees
With the nearest neighbours (Å) after each atom.
Space group C2/c (No. 15)
Symmetry-distinct sites (fractional):
Pr 0.0847 0.1207 0.4440 [8 per cell]  1 Co 2.68
Pr 0.1829 0.3981 0.1465 [8 per cell]  2 Co 2.81-2.82
Co 0.2500 0.2500 0.5000 [4 per cell]  6 Pr 2.68-2.82
Bi 0.0000 0.3754 0.7500 [4 per cell]  10 Pr 3.45-3.60

Calculated values
The calculated formation energy is -0.269 eV per atom. The calculation puts the calculated density at 7.42 g/cm3. The density of states at the Fermi level is 21.6 states/eV per cell.

2.
Pr12Co5Bi after structural relaxation. Source: Alexandria via LeMat-Bulk, functional PBE.

Cell lengths 9.9040, 9.9772, 10.2701 Å; angles 90.00, 90.00, 90.00 degrees
With the nearest neighbours (Å) after each atom.
Space group Immm (No. 71)
Symmetry-distinct sites (fractional):
Pr 0.0000 0.1905 0.1953 [8 per cell]  2 Co 2.76-2.77
Pr 0.1900 0.5000 0.1874 [8 per cell]  3 Co 2.81-2.93
Pr 0.2005 0.3144 0.5000 [8 per cell]  2 Co 2.94
Co 0.0000 0.0000 0.0000 [2 per cell]  4 Pr 2.76
Co 0.0000 0.3827 0.0000 [4 per cell]  1 Co 2.34
Co 0.0000 0.5000 0.3900 [4 per cell]  1 Co 2.26
Bi 0.0000 0.0000 0.5000 [2 per cell]  12 Pr 3.62-3.71

Calculated values
The calculated formation energy is -0.153 eV per atom. The calculation puts the calculated density at 7.18 g/cm3. The density of states at the Fermi level is 27.6 states/eV per cell.

3.
Pr2CoBi after structural relaxation. Source: Alexandria via LeMat-Bulk, functional PBE.

Cell lengths 3.8586, 3.8586, 29.6183 Å; angles 90.00, 90.00, 120.00 degrees
With the nearest neighbours (Å) after each atom.
Space group R-3m (No. 166, hexagonal axes)
Symmetry-distinct sites (fractional):
Pr 0.0000 0.0000 0.1126 [6 per cell]  3 Co 2.74
Co 0.0000 0.0000 0.5000 [3 per cell]  6 Pr 2.74
Bi 0.0000 0.0000 0.0000 [3 per cell]  2 Pr 3.33

Calculated values
The calculated formation energy is -0.014 eV per atom. The calculation puts the calculated density at 7.17 g/cm3. The density of states at the Fermi level is 4.6 states/eV per cell.

4.
Pr12Co6Bi after structural relaxation. Source: Alexandria via LeMat-Bulk, functional PBE.

Cell lengths 10.1445, 10.1445, 10.1445 Å; angles 90.00, 90.00, 90.00 degrees
With the nearest neighbours (Å) after each atom.
Space group Im-3 (No. 204)
Symmetry-distinct sites (fractional):
Pr 0.0000 0.3086 0.1940 [24 per cell]  3 Co 2.78-2.98
Co 0.0000 0.1100 0.5000 [12 per cell]  1 Co 2.23
Bi 0.0000 0.0000 0.0000 [2 per cell]  12 Pr 3.70

Calculated values
The calculated formation energy is -0.160 eV per atom. The calculation puts the calculated density at 7.17 g/cm3. The density of states at the Fermi level is 22.1 states/eV per cell.

5.
Pr3CoBi after structural relaxation. Source: Alexandria via LeMat-Bulk, functional PBE.

Cell lengths 8.4930, 4.4325, 8.7493 Å; angles 90.00, 118.02, 90.00 degrees
With the nearest neighbours (Å) after each atom.
Space group P2_1/m (No. 11)
Symmetry-distinct sites (fractional):
Pr 0.0469 0.2500 0.2203 [2 per cell]  1 Co 2.92
Pr 0.3153 0.2500 0.8835 [2 per cell]  1 Co 2.77
Pr 0.3404 0.7500 0.5758 [2 per cell]  1 Co 2.85
Co 0.0362 0.2500 0.5490 [2 per cell]  2 Co 2.35
Bi 0.3245 0.7500 0.1836 [2 per cell]  9 Pr 3.36-3.46

Calculated values
The calculated formation energy is -0.399 eV per atom. The calculation puts the calculated density at 7.89 g/cm3. The density of states at the Fermi level is 12.2 states/eV per cell. The distance to the lowest polymorph of the same formula comes out at 0 meV per atom.

6.
Pr5CoBi2 after structural relaxation. Source: Alexandria via LeMat-Bulk, functional PBE.

Cell lengths 5.8190, 16.7290, 13.5911 Å; angles 90.00, 90.00, 90.00 degrees
With the nearest neighbours (Å) after each atom.
Space group Cmcm (No. 63)
Symmetry-distinct sites (fractional):
Pr 0.0000 0.0532 0.1131 [8 per cell]  1 Co 2.65
Pr 0.0000 0.2770 0.0994 [8 per cell]  1 Co 2.77
Pr 0.0000 0.3105 0.7500 [4 per cell]  2 Co 2.94
Co 0.0000 0.1656 0.2500 [4 per cell]  6 Pr 2.65-2.94
Bi 0.0000 0.1437 0.5986 [8 per cell]  6 Pr 3.20-3.50

Calculated values
The calculated formation energy is -0.124 eV per atom. The calculation puts the calculated density at 5.93 g/cm3. The density of states at the Fermi level is 46.0 states/eV per cell.

7.
Pr3Co3Bi after structural relaxation. Source: Alexandria via LeMat-Bulk, functional PBE.

Cell lengths 9.6575, 9.6575, 4.2569 Å; angles 90.00, 90.00, 120.00 degrees
With the nearest neighbours (Å) after each atom.
Space group P6_3/m (No. 176)
Symmetry-distinct sites (fractional):
Pr 0.0704 0.6887 0.2500 [6 per cell]  4 Co 2.85-3.08
Co 0.0140 0.8681 0.7500 [6 per cell]  6 Co 2.33-2.52
Bi 0.3333 0.6667 0.7500 [2 per cell]  9 Pr 3.40-3.69

Calculated values
The calculated formation energy is -0.258 eV per atom. The calculation puts the calculated density at 7.81 g/cm3. The density of states at the Fermi level is 17.2 states/eV per cell.

8.
Pr8CoBi2 after structural relaxation. Source: Alexandria via LeMat-Bulk, functional PBE.

Cell lengths 18.8928, 5.6050, 6.8950 Å; angles 90.00, 108.97, 90.00 degrees
With the nearest neighbours (Å) after each atom.
Space group C2/m (No. 12)
Symmetry-distinct sites (fractional):
Pr 0.0052 0.0000 0.2337 [4 per cell]  3 Pr 3.16-3.31, 2 Co 3.22, 1 Bi 3.38
Pr 0.0864 0.5000 0.7528 [4 per cell]  1 Co 2.72
Pr 0.1381 0.5000 0.3074 [4 per cell]  1 Co 2.78
Pr 0.2184 0.0000 0.1352 [4 per cell]  3 Bi 3.35-3.58, 3 Pr 3.51-3.57
Co 0.0000 0.5000 0.0000 [2 per cell]  4 Pr 2.72-2.78
Bi 0.1697 0.0000 0.6230 [4 per cell]  10 Pr 3.35-3.74

Calculated values
The calculated formation energy is -0.281 eV per atom. The calculation puts the calculated density at 7.72 g/cm3. The density of states at the Fermi level is 26.5 states/eV per cell.

9.
CoBiPt3 after structural relaxation. Source: Alexandria via LeMat-Bulk, functional PBE.

Cell lengths 5.0525, 5.0525, 5.0525 Å; angles 90.00, 90.00, 90.00 degrees
With the nearest neighbours (Å) after each atom.
Space group Pm-3m (No. 221)
Symmetry-distinct sites (fractional):
Co 0.0000 0.0000 0.0000 [1 per cell]  12 Pt 3.57
Bi 0.5000 0.5000 0.5000 [1 per cell]  6 Pt 2.53
Pt 0.0000 0.5000 0.5000 [3 per cell]  2 Bi 2.53

Calculated values
The calculated formation energy is 1.516 eV per atom. The calculation puts the calculated density at 10.98 g/cm3. The density of states at the Fermi level is 5.7 states/eV per cell. The distance to the lowest polymorph of the same formula comes out at 946 meV per atom.

10.
Co3BiPt after structural relaxation. Source: Alexandria via LeMat-Bulk, functional PBE.

Cell lengths 4.6524, 4.6524, 4.6524 Å; angles 90.00, 90.00, 90.00 degrees
With the nearest neighbours (Å) after each atom.
Space group Pm-3m (No. 221)
Symmetry-distinct sites (fractional):
Co 0.0000 0.0000 0.5000 [3 per cell]  2 Pt 2.33
Bi 0.5000 0.5000 0.5000 [1 per cell]  12 Co 3.29
Pt 0.0000 0.0000 0.0000 [1 per cell]  6 Co 2.33

Calculated values
The calculated formation energy is 0.977 eV per atom. The calculation puts the calculated density at 9.58 g/cm3. The density of states at the Fermi level is 7.5 states/eV per cell. The distance to the lowest polymorph of the same formula comes out at 0 meV per atom.

11.
CoBiPt3 after structural relaxation. Source: Alexandria via LeMat-Bulk, functional PBE.

Cell lengths 4.6476, 4.6476, 4.6476 Å; angles 90.00, 90.00, 90.00 degrees
With the nearest neighbours (Å) after each atom.
Space group Pm-3m (No. 221)
Symmetry-distinct sites (fractional):
Co 0.0000 0.0000 0.0000 [1 per cell]  6 Pt 2.32
Bi 0.5000 0.5000 0.5000 [1 per cell]  12 Pt 3.29
Pt 0.0000 0.0000 0.5000 [3 per cell]  2 Co 2.32

Calculated values
The calculated formation energy is 0.569 eV per atom. The calculation puts the calculated density at 14.11 g/cm3. The density of states at the Fermi level is 4.2 states/eV per cell. The distance to the lowest polymorph of the same formula comes out at 0 meV per atom.

12.
CoBiPt2 after structural relaxation. Source: Alexandria via LeMat-Bulk, functional PBE.

Cell lengths 3.9167, 3.9167, 18.9570 Å; angles 90.00, 90.00, 90.00 degrees
With the nearest neighbours (Å) after each atom.
Space group I-42d (No. 122)
Symmetry-distinct sites (fractional):
Co 0.0000 0.0000 0.0000 [4 per cell]  4 Pt 2.72, 4 Bi 2.77
Bi 0.0000 0.0000 0.5000 [4 per cell]  4 Co 2.77, 4 Pt 2.77
Pt 0.2300 0.2500 0.1250 [8 per cell]  4 Pt 2.66-2.88, 2 Co 2.72, 2 Bi 2.77

Calculated values
The calculated formation energy is 0.245 eV per atom. The calculation puts the calculated density at 15.03 g/cm3. The density of states at the Fermi level is 17.8 states/eV per cell.

Number 1: magnetization 0.0000 μB/atom. Number 2: magnetization 0.0000 μB/atom. Number 3: magnetization 0.0000 μB/atom. Number 4: magnetization 0.0001 μB/atom. Number 5: magnetization 0.1614 μB/atom. Number 6: magnetization 0.0000 μB/atom. Number 7: magnetization 0.3268 μB/atom. Number 8: magnetization 0.0000 μB/atom. Number 9: magnetization 0.4333 μB/atom. Number 10: magnetization 1.2485 μB/atom. Number 11: magnetization 0.5712 μB/atom. Number 12: magnetization 0.3304 μB/atom.